# 1
Density functional theory data (PBE) for crystalline PrNd2Tc at its relaxed geometry.

Values from the calculation:
The polymorph energy (0 for the lowest one) comes out at 42 kJ/mol of formula units. The value obtained for the formation energy is 3.2 kcal/mol of atoms.

The structure in CIF format:
```
data_PrNd2Tc
_symmetry_space_group_name_H-M 'P 1'
_symmetry_Int_Tables_number 1
_symmetry_space_group_name_Hall 'P 1'
_cell_length_a 3.5455
_cell_length_b 3.5455
_cell_length_c 9.3179
_cell_angle_alpha 90.00
_cell_angle_beta 90.00
_cell_angle_gamma 90.00
loop_
_atom_site_label
_atom_site_fract_x
_atom_site_fract_y
_atom_site_fract_z
Pr1 0.5000 0.5000 0.5000
Nd1 0.0000 0.0000 0.8158
Nd2 0.0000 0.0000 0.1842
Tc1 0.5000 0.5000 0.0000
```



# 2
Density functional theory data (PBE) for crystalline PrNd2Te at its relaxed geometry.

Values from the calculation:
The polymorph energy (0 for the lowest one) comes out at 59 kJ/mol of formula units. As for the formation energy (no corrections): -543 meV per atom.

The structure in CIF format:
```
data_PrNd2Te
_symmetry_space_group_name_H-M 'P 1'
_symmetry_Int_Tables_number 1
_symmetry_space_group_name_Hall 'P 1'
_cell_length_a 4.9422
_cell_length_b 4.9311
_cell_length_c 4.9311
_cell_angle_alpha 90.00
_cell_angle_beta 90.00
_cell_angle_gamma 90.00
loop_
_atom_site_label
_atom_site_fract_x
_atom_site_fract_y
_atom_site_fract_z
Pr1 0.5000 0.0000 0.0000
Te1 0.5000 0.5000 0.5000
Nd1 0.0000 0.0000 0.5000
Nd2 0.0000 0.5000 0.0000
```



# 3
Density functional theory data (PBE) for crystalline PrNd2Te4 at its relaxed geometry.

Values from the calculation:
The polymorph energy (0 for the lowest one) comes out at 2 kJ/mol of formula units. As for the formation energy (no corrections): -1418 meV per atom.

The structure in CIF format:
```
data_PrNd2Te4
_symmetry_space_group_name_H-M 'P 1'
_symmetry_Int_Tables_number 1
_symmetry_space_group_name_Hall 'P 1'
_cell_length_a 4.5041
_cell_length_b 7.8429
_cell_length_c 8.8508
_cell_angle_alpha 117.07
_cell_angle_beta 104.74
_cell_angle_gamma 90.00
loop_
_atom_site_label
_atom_site_fract_x
_atom_site_fract_y
_atom_site_fract_z
Pr1 0.0000 0.0000 0.0000
Nd1 0.2590 0.2482 0.5181
Nd2 0.7410 0.7518 0.4819
Te1 0.1232 0.7961 0.2464
Te2 0.8768 0.2039 0.7536
Te3 0.3681 0.7134 0.7362
Te4 0.6319 0.2866 0.2638
```



# 4
Density functional theory data (PBE) for crystalline Pr6NdTe8 at its relaxed geometry.

Values from the calculation:
As for the formation energy (no corrections): -1470 meV per atom.

The structure in CIF format:
```
data_Pr6NdTe8
_symmetry_space_group_name_H-M 'P 1'
_symmetry_Int_Tables_number 1
_symmetry_space_group_name_Hall 'P 1'
_cell_length_a 9.0263
_cell_length_b 9.0263
_cell_length_c 9.0263
_cell_angle_alpha 60.00
_cell_angle_beta 60.00
_cell_angle_gamma 60.00
loop_
_atom_site_label
_atom_site_fract_x
_atom_site_fract_y
_atom_site_fract_z
Pr1 0.0000 0.5000 0.5000
Pr2 0.5000 0.0000 0.0000
Pr3 0.5000 0.5000 0.0000
Pr4 0.0000 0.0000 0.5000
Pr5 0.0000 0.5000 0.0000
Pr6 0.5000 0.0000 0.5000
Nd1 0.0000 0.0000 0.0000
Te1 0.7500 0.7500 0.7500
Te2 0.2500 0.2500 0.2500
Te3 0.7458 0.2542 0.2542
Te4 0.2542 0.7458 0.7458
Te5 0.2542 0.2542 0.7458
Te6 0.7458 0.7458 0.2542
Te7 0.7458 0.2542 0.7458
Te8 0.2542 0.7458 0.2542
```



# 5
Density functional theory data (PBE) for crystalline PrNd4Te5 at its relaxed geometry.

Values from the calculation:
As for the formation energy (no corrections): -1425 meV per atom.

The structure in CIF format:
```
data_PrNd4Te5
_symmetry_space_group_name_H-M 'P 1'
_symmetry_Int_Tables_number 1
_symmetry_space_group_name_Hall 'P 1'
_cell_length_a 4.4975
_cell_length_b 4.4975
_cell_length_c 16.3061
_cell_angle_alpha 97.93
_cell_angle_beta 97.93
_cell_angle_gamma 90.00
loop_
_atom_site_label
_atom_site_fract_x
_atom_site_fract_y
_atom_site_fract_z
Pr1 0.0000 0.0000 0.0000
Nd1 0.4023 0.4023 0.8046
Nd2 0.7964 0.7964 0.5927
Nd3 0.2036 0.2036 0.4073
Nd4 0.5977 0.5977 0.1954
Te1 0.1018 0.1018 0.2036
Te2 0.5000 0.5000 0.0000
Te3 0.8982 0.8982 0.7964
Te4 0.3024 0.3024 0.6049
Te5 0.6976 0.6976 0.3951
```



# 6
Density functional theory data (PBE) for crystalline PrNdTe at its relaxed geometry.

Values from the calculation:
The polymorph energy (0 for the lowest one) comes out at 0 kJ/mol of formula units. As for the formation energy (no corrections): -968 meV per atom.

The structure in CIF format:
```
data_PrNdTe
_symmetry_space_group_name_H-M 'P 1'
_symmetry_Int_Tables_number 1
_symmetry_space_group_name_Hall 'P 1'
_cell_length_a 4.5351
_cell_length_b 4.5351
_cell_length_c 9.5132
_cell_angle_alpha 103.79
_cell_angle_beta 103.79
_cell_angle_gamma 90.00
loop_
_atom_site_label
_atom_site_fract_x
_atom_site_fract_y
_atom_site_fract_z
Te1 0.1374 0.1374 0.2748
Te2 0.8626 0.8626 0.7252
Nd1 0.0000 0.5000 0.0000
Nd2 0.5000 0.0000 0.0000
Pr1 0.6799 0.6799 0.3599
Pr2 0.3201 0.3201 0.6401
```



# 7
Density functional theory data (PBE) for crystalline PrNd2Te2 at its relaxed geometry.

Values from the calculation:
As for the formation energy (no corrections): -981 meV per atom.

The structure in CIF format:
```
data_PrNd2Te2
_symmetry_space_group_name_H-M 'P 1'
_symmetry_Int_Tables_number 1
_symmetry_space_group_name_Hall 'P 1'
_cell_length_a 4.8786
_cell_length_b 4.8786
_cell_length_c 8.0667
_cell_angle_alpha 90.00
_cell_angle_beta 90.00
_cell_angle_gamma 120.00
loop_
_atom_site_label
_atom_site_fract_x
_atom_site_fract_y
_atom_site_fract_z
Pr1 0.0000 0.0000 0.0000
Nd1 0.6667 0.3333 0.3593
Nd2 0.3333 0.6667 0.6407
Te1 0.6667 0.3333 0.7954
Te2 0.3333 0.6667 0.2046
```



# 8
Density functional theory data (PBE) for crystalline Pr3Nd2Te6 at its relaxed geometry.

Values from the calculation:
As for the formation energy (no corrections): -1480 meV per atom.

The structure in CIF format:
```
data_Pr3Nd2Te6
_symmetry_space_group_name_H-M 'P 1'
_symmetry_Int_Tables_number 1
_symmetry_space_group_name_Hall 'P 1'
_cell_length_a 7.7970
_cell_length_b 7.7740
_cell_length_c 7.7628
_cell_angle_alpha 80.31
_cell_angle_beta 70.38
_cell_angle_gamma 59.90
loop_
_atom_site_label
_atom_site_fract_x
_atom_site_fract_y
_atom_site_fract_z
Pr1 0.0000 0.0000 0.0000
Pr2 0.3316 0.3369 0.0000
Pr3 0.6684 0.6631 0.0000
Nd1 0.1646 0.6708 0.5000
Nd2 0.8354 0.3292 0.5000
Te1 0.4203 0.6760 0.7410
Te2 0.7425 0.0000 0.7421
Te3 0.0963 0.3240 0.7410
Te4 0.2575 0.0000 0.2579
Te5 0.5797 0.3240 0.2590
Te6 0.9037 0.6760 0.2590
```



# 9
Density functional theory data (PBE) for crystalline PrNd3Te3 at its relaxed geometry.

Values from the calculation:
As for the formation energy (no corrections): -1134 meV per atom.

The structure in CIF format:
```
data_PrNd3Te3
_symmetry_space_group_name_H-M 'P 1'
_symmetry_Int_Tables_number 1
_symmetry_space_group_name_Hall 'P 1'
_cell_length_a 9.3256
_cell_length_b 9.3256
_cell_length_c 8.1680
_cell_angle_alpha 55.19
_cell_angle_beta 55.19
_cell_angle_gamma 60.00
loop_
_atom_site_label
_atom_site_fract_x
_atom_site_fract_y
_atom_site_fract_z
Pr1 0.3176 0.3176 0.0472
Pr2 0.6824 0.6824 0.9528
Nd1 0.3433 0.8344 0.7413
Nd2 0.8344 0.0810 0.7413
Nd3 0.0810 0.3433 0.7413
Nd4 0.9190 0.6567 0.2587
Nd5 0.1656 0.9190 0.2587
Nd6 0.6567 0.1656 0.2587
Te1 0.3145 0.5403 0.2410
Te2 0.9042 0.3145 0.2410
Te3 0.5403 0.9042 0.2410
Te4 0.4597 0.0958 0.7590
Te5 0.0958 0.6855 0.7590
Te6 0.6855 0.4597 0.7590
```



# 10
Density functional theory data (PBE) for crystalline Pr3Nd4Te8 at its relaxed geometry.

Values from the calculation:
As for the formation energy (no corrections): -1465 meV per atom.

The structure in CIF format:
```
data_Pr3Nd4Te8
_symmetry_space_group_name_H-M 'P 1'
_symmetry_Int_Tables_number 1
_symmetry_space_group_name_Hall 'P 1'
_cell_length_a 8.9912
_cell_length_b 8.9943
_cell_length_c 8.9943
_cell_angle_alpha 90.01
_cell_angle_beta 119.98
_cell_angle_gamma 119.98
loop_
_atom_site_label
_atom_site_fract_x
_atom_site_fract_y
_atom_site_fract_z
Pr1 0.5000 0.5000 0.0000
Pr2 0.5000 0.0000 0.5000
Pr3 0.5000 0.5000 0.5000
Nd1 0.5000 0.0000 0.0000
Nd2 0.0000 0.5000 0.0000
Nd3 0.0000 0.0000 0.0000
Nd4 0.0000 0.0000 0.5000
Te1 0.5100 0.2542 0.2542
Te2 0.0000 0.7450 0.2550
Te3 0.9984 0.2543 0.2543
Te4 0.5000 0.7508 0.2492
Te5 0.5000 0.2492 0.7508
Te6 0.0016 0.7457 0.7457
Te7 0.0000 0.2550 0.7450
Te8 0.4900 0.7458 0.7458
```



# 11
Density functional theory data (PBE) for crystalline PrNd2Te at its relaxed geometry.

Values from the calculation:
The polymorph energy (0 for the lowest one) comes out at 0 kJ/mol of formula units. As for the formation energy (no corrections): -695 meV per atom.

The structure in CIF format:
```
data_PrNd2Te
_symmetry_space_group_name_H-M 'P 1'
_symmetry_Int_Tables_number 1
_symmetry_space_group_name_Hall 'P 1'
_cell_length_a 4.1087
_cell_length_b 6.5309
_cell_length_c 10.3102
_cell_angle_alpha 90.00
_cell_angle_beta 90.00
_cell_angle_gamma 108.34
loop_
_atom_site_label
_atom_site_fract_x
_atom_site_fract_y
_atom_site_fract_z
Pr1 0.9417 0.8832 0.2500
Pr2 0.0583 0.1168 0.7500
Nd1 0.3640 0.7278 0.5360
Nd2 0.6360 0.2722 0.4640
Nd3 0.3640 0.7278 0.9640
Nd4 0.6360 0.2722 0.0360
Te1 0.7689 0.5378 0.7500
Te2 0.2311 0.4622 0.2500
```



# 12
Density functional theory data (PBE) for crystalline PrNd3Te6 at its relaxed geometry.

Values from the calculation:
The polymorph energy (0 for the lowest one) comes out at 163 kJ/mol of formula units. As for the formation energy (no corrections): -1263 meV per atom.

The structure in CIF format:
```
data_PrNd3Te6
_symmetry_space_group_name_H-M 'P 1'
_symmetry_Int_Tables_number 1
_symmetry_space_group_name_Hall 'P 1'
_cell_length_a 7.8169
_cell_length_b 8.3335
_cell_length_c 8.3335
_cell_angle_alpha 62.33
_cell_angle_beta 61.91
_cell_angle_gamma 61.91
loop_
_atom_site_label
_atom_site_fract_x
_atom_site_fract_y
_atom_site_fract_z
Pr1 0.5000 0.5000 0.5000
Nd1 0.3192 0.2499 0.2499
Nd2 0.6808 0.7501 0.7501
Nd3 0.0000 0.0000 0.0000
Te1 0.3390 0.1595 0.6603
Te2 0.6610 0.3397 0.8405
Te3 0.6610 0.8405 0.3397
Te4 0.3390 0.6603 0.1595
Te5 0.0759 0.7512 0.7512
Te6 0.9241 0.2488 0.2488
```